# GGA-PBE Pr2Tc2Ge2N, relaxed
data_Pr2Tc2Ge2N
_space_group_name_H-M_alt 'P 1'
_space_group_IT_number 1
_cell_length_a 6.045
_cell_length_b 6.045
_cell_length_c 7.188
_cell_angle_alpha 124.85
_cell_angle_beta 124.85
_cell_angle_gamma 40.24
loop_
_space_group_symop_operation_xyz
'x,y,z'
loop_
_atom_site_label
_atom_site_type_symbol
_atom_site_fract_x
_atom_site_fract_y
_atom_site_fract_z
Pr1 Pr 0.063 0.063 0.295
Pr2 Pr 0.937 0.937 0.705
Tc1 Tc 0.303 0.303 0.910
Tc2 Tc 0.697 0.697 0.090
Ge1 Ge 0.341 0.341 0.296
Ge2 Ge 0.659 0.659 0.704
N1 N 0.500 0.500 0.000
# Spin magnetization: 0.0 μB/f.u.
# VASP energy: -52.839 eV/cell
# Formation energy from raw total energies: -68.75 kJ per mole of atoms
# Crystal system: monoclinic

---

# GGA-PBE PrTc2GeN, relaxed
data_PrTc2GeN
_space_group_name_H-M_alt 'P 1'
_space_group_IT_number 1
_cell_length_a 5.936
_cell_length_b 5.936
_cell_length_c 7.485
_cell_angle_alpha 90.00
_cell_angle_beta 90.00
_cell_angle_gamma 140.95
loop_
_space_group_symop_operation_xyz
'x,y,z'
loop_
_atom_site_label
_atom_site_type_symbol
_atom_site_fract_x
_atom_site_fract_y
_atom_site_fract_z
Pr1 Pr 0.045 0.955 0.750
Pr2 Pr 0.955 0.045 0.250
Tc1 Tc 0.333 0.667 0.559
Tc2 Tc 0.333 0.667 0.941
Tc3 Tc 0.667 0.333 0.059
Tc4 Tc 0.667 0.333 0.441
Ge1 Ge 0.233 0.767 0.250
Ge2 Ge 0.767 0.233 0.750
N1 N 0.500 0.500 0.000
N2 N 0.500 0.500 0.500
# Spin magnetization: 0.0 μB/f.u.
# VASP energy: -82.742 eV/cell
# Formation energy from raw total energies: -56.29 kJ per mole of atoms
# Crystal system: orthorhombic

---

# GGA-PBE Pr2Th4Ge3N2, relaxed
data_Pr2Th4Ge3N2
_space_group_name_H-M_alt 'P 1'
_space_group_IT_number 1
_cell_length_a 12.841
_cell_length_b 12.841
_cell_length_c 12.841
_cell_angle_alpha 158.61
_cell_angle_beta 158.61
_cell_angle_gamma 30.43
loop_
_space_group_symop_operation_xyz
'x,y,z'
loop_
_atom_site_label
_atom_site_type_symbol
_atom_site_fract_x
_atom_site_fract_y
_atom_site_fract_z
Pr1 Pr 0.200 0.200 0.000
Pr2 Pr 0.800 0.800 0.000
Th1 Th 0.080 0.580 0.500
Th2 Th 0.420 0.920 0.500
Th3 Th 0.580 0.080 0.500
Th4 Th 0.920 0.420 0.500
Ge1 Ge 0.328 0.328 0.000
Ge2 Ge 0.500 0.500 0.000
Ge3 Ge 0.672 0.672 0.000
N1 N 0.099 0.099 0.000
N2 N 0.901 0.901 0.000
# Spin magnetization: 0.0 μB/f.u.
# VASP energy: -79.915 eV/cell
# Formation energy from raw total energies: -89.24 kJ per mole of atoms
# Crystal system: tetragonal

---

# GGA-PBE PrTm2GeN4, relaxed
data_PrTm2GeN4
_space_group_name_H-M_alt 'P 1'
_space_group_IT_number 1
_cell_length_a 5.976
_cell_length_b 5.976
_cell_length_c 11.475
_cell_angle_alpha 90.00
_cell_angle_beta 90.00
_cell_angle_gamma 145.83
loop_
_space_group_symop_operation_xyz
'x,y,z'
loop_
_atom_site_label
_atom_site_type_symbol
_atom_site_fract_x
_atom_site_fract_y
_atom_site_fract_z
Pr1 Pr 0.097 0.903 0.750
Pr2 Pr 0.903 0.097 0.250
Tm1 Tm 0.370 0.630 0.543
Tm2 Tm 0.370 0.630 0.957
Tm3 Tm 0.630 0.370 0.043
Tm4 Tm 0.630 0.370 0.457
Ge1 Ge 0.163 0.837 0.250
Ge2 Ge 0.837 0.163 0.750
N1 N 0.000 0.000 0.000
N2 N 0.000 0.000 0.500
N3 N 0.266 0.734 0.123
N4 N 0.266 0.734 0.377
N5 N 0.420 0.580 0.750
N6 N 0.580 0.420 0.250
N7 N 0.734 0.266 0.623
N8 N 0.734 0.266 0.877
# Spin magnetization: 0.0 μB/f.u.
# VASP energy: -121.322 eV/cell
# Formation energy from raw total energies: -108.79 kJ per mole of atoms
# Crystal system: orthorhombic

---

# GGA-PBE Pr2UGeN5, relaxed
data_Pr2UGeN5
_space_group_name_H-M_alt 'P 1'
_space_group_IT_number 1
_cell_length_a 7.439
_cell_length_b 7.439
_cell_length_c 10.558
_cell_angle_alpha 90.00
_cell_angle_beta 90.00
_cell_angle_gamma 152.93
loop_
_space_group_symop_operation_xyz
'x,y,z'
loop_
_atom_site_label
_atom_site_type_symbol
_atom_site_fract_x
_atom_site_fract_y
_atom_site_fract_z
Pr1 Pr 0.107 0.893 0.500
Pr2 Pr 0.130 0.870 0.142
Pr3 Pr 0.870 0.130 0.642
Pr4 Pr 0.893 0.107 0.000
U1 U 0.204 0.796 0.844
U2 U 0.796 0.204 0.344
Ge1 Ge 0.455 0.545 0.260
Ge2 Ge 0.545 0.455 0.760
N1 N 0.042 0.958 0.850
N2 N 0.288 0.712 0.476
N3 N 0.320 0.680 0.207
N4 N 0.349 0.651 0.826
N5 N 0.493 0.507 0.602
N6 N 0.507 0.493 0.102
N7 N 0.651 0.349 0.326
N8 N 0.680 0.320 0.707
N9 N 0.712 0.288 0.976
N10 N 0.958 0.042 0.350
# Spin magnetization: 0.7 μB/f.u.
# VASP energy: -151.792 eV/cell
# Formation energy from raw total energies: -94.39 kJ per mole of atoms
# Crystal system: orthorhombic

---

# GGA-PBE PrY2GeN4, relaxed
data_PrY2GeN4
_space_group_name_H-M_alt 'P 1'
_space_group_IT_number 1
_cell_length_a 6.032
_cell_length_b 6.032
_cell_length_c 11.661
_cell_angle_alpha 90.00
_cell_angle_beta 90.00
_cell_angle_gamma 145.72
loop_
_space_group_symop_operation_xyz
'x,y,z'
loop_
_atom_site_label
_atom_site_type_symbol
_atom_site_fract_x
_atom_site_fract_y
_atom_site_fract_z
Pr1 Pr 0.099 0.901 0.750
Pr2 Pr 0.901 0.099 0.250
Y1 Y 0.369 0.631 0.543
Y2 Y 0.369 0.631 0.957
Y3 Y 0.631 0.369 0.043
Y4 Y 0.631 0.369 0.457
Ge1 Ge 0.163 0.837 0.250
Ge2 Ge 0.837 0.163 0.750
N1 N 0.000 0.000 0.000
N2 N 0.000 0.000 0.500
N3 N 0.268 0.732 0.126
N4 N 0.268 0.732 0.374
N5 N 0.421 0.579 0.750
N6 N 0.579 0.421 0.250
N7 N 0.732 0.268 0.626
N8 N 0.732 0.268 0.874
# Spin magnetization: 0.0 μB/f.u.
# VASP energy: -128.230 eV/cell
# Formation energy from raw total energies: -102.38 kJ per mole of atoms
# Crystal system: orthorhombic

---

# GGA-PBE PrZn2GeN, relaxed
data_PrZn2GeN
_space_group_name_H-M_alt 'P 1'
_space_group_IT_number 1
_cell_length_a 6.337
_cell_length_b 6.337
_cell_length_c 7.409
_cell_angle_alpha 90.00
_cell_angle_beta 90.00
_cell_angle_gamma 145.00
loop_
_space_group_symop_operation_xyz
'x,y,z'
loop_
_atom_site_label
_atom_site_type_symbol
_atom_site_fract_x
_atom_site_fract_y
_atom_site_fract_z
Pr1 Pr 0.038 0.962 0.750
Pr2 Pr 0.962 0.038 0.250
Zn1 Zn 0.338 0.662 0.555
Zn2 Zn 0.338 0.662 0.945
Zn3 Zn 0.662 0.338 0.055
Zn4 Zn 0.662 0.338 0.445
Ge1 Ge 0.236 0.764 0.250
Ge2 Ge 0.764 0.236 0.750
N1 N 0.500 0.500 0.000
N2 N 0.500 0.500 0.500
# Spin magnetization: 0.0 μB/f.u.
# VASP energy: -45.031 eV/cell
# Formation energy from raw total energies: -43.33 kJ per mole of atoms
# Crystal system: orthorhombic

---

# GGA-PBE GePtN2, relaxed
data_GePtN2
_space_group_name_H-M_alt 'P 1'
_space_group_IT_number 1
_cell_length_a 6.190
_cell_length_b 6.190
_cell_length_c 6.190
_cell_angle_alpha 29.76
_cell_angle_beta 29.76
_cell_angle_gamma 29.76
loop_
_space_group_symop_operation_xyz
'x,y,z'
loop_
_atom_site_label
_atom_site_type_symbol
_atom_site_fract_x
_atom_site_fract_y
_atom_site_fract_z
Ge1 Ge 0.000 0.000 0.000
Pt1 Pt 0.500 0.500 0.500
N1 N 0.111 0.111 0.111
N2 N 0.889 0.889 0.889
# Spin magnetization: 0.0 μB/f.u.
# VASP energy: -24.511 eV/cell
# Formation energy from raw total energies: 67.49 kJ per mole of atoms
# Crystal system: trigonal

---

# GGA-PBE GePtN2, relaxed
data_GePtN2
_space_group_name_H-M_alt 'P 1'
_space_group_IT_number 1
_cell_length_a 5.461
_cell_length_b 5.461
_cell_length_c 5.461
_cell_angle_alpha 127.29
_cell_angle_beta 127.29
_cell_angle_gamma 77.78
loop_
_space_group_symop_operation_xyz
'x,y,z'
loop_
_atom_site_label
_atom_site_type_symbol
_atom_site_fract_x
_atom_site_fract_y
_atom_site_fract_z
Ge1 Ge 0.000 0.000 0.000
Ge2 Ge 0.750 0.250 0.500
Pt1 Pt 0.250 0.750 0.500
Pt2 Pt 0.500 0.500 0.000
N1 N 0.075 0.625 0.950
N2 N 0.375 0.325 0.450
N3 N 0.675 0.125 0.050
N4 N 0.875 0.925 0.550
# Spin magnetization: 0.0 μB/f.u.
# VASP energy: -50.167 eV/cell
# Formation energy from raw total energies: 53.67 kJ per mole of atoms
# Crystal system: tetragonal

---

# GGA-PBE GePtN2, relaxed
data_GePtN2
_space_group_name_H-M_alt 'P 1'
_space_group_IT_number 1
_cell_length_a 6.348
_cell_length_b 6.348
_cell_length_c 6.348
_cell_angle_alpha 26.77
_cell_angle_beta 26.77
_cell_angle_gamma 26.77
loop_
_space_group_symop_operation_xyz
'x,y,z'
loop_
_atom_site_label
_atom_site_type_symbol
_atom_site_fract_x
_atom_site_fract_y
_atom_site_fract_z
Ge1 Ge 0.000 0.000 0.000
Pt1 Pt 0.500 0.500 0.500
N1 N 0.392 0.392 0.392
N2 N 0.608 0.608 0.608
# Spin magnetization: 0.0 μB/f.u.
# VASP energy: -25.868 eV/cell
# Formation energy from raw total energies: 34.77 kJ per mole of atoms
# Crystal system: trigonal

---

# GGA-PBE Ge2PtN, relaxed
data_Ge2PtN
_space_group_name_H-M_alt 'P 1'
_space_group_IT_number 1
_cell_length_a 6.620
_cell_length_b 6.620
_cell_length_c 6.620
_cell_angle_alpha 32.50
_cell_angle_beta 32.50
_cell_angle_gamma 32.50
loop_
_space_group_symop_operation_xyz
'x,y,z'
loop_
_atom_site_label
_atom_site_type_symbol
_atom_site_fract_x
_atom_site_fract_y
_atom_site_fract_z
Ge1 Ge 0.092 0.092 0.092
Ge2 Ge 0.908 0.908 0.908
Pt1 Pt 0.500 0.500 0.500
N1 N 0.000 0.000 0.000
# Spin magnetization: 0.0 μB/f.u.
# VASP energy: -23.278 eV/cell
# Formation energy from raw total energies: 7.80 kJ per mole of atoms
# Crystal system: trigonal

---

# GGA-PBE Ge2PtN, relaxed
data_Ge2PtN
_space_group_name_H-M_alt 'P 1'
_space_group_IT_number 1
_cell_length_a 5.895
_cell_length_b 5.895
_cell_length_c 5.895
_cell_angle_alpha 125.37
_cell_angle_beta 125.37
_cell_angle_gamma 80.93
loop_
_space_group_symop_operation_xyz
'x,y,z'
loop_
_atom_site_label
_atom_site_type_symbol
_atom_site_fract_x
_atom_site_fract_y
_atom_site_fract_z
Ge1 Ge 0.066 0.625 0.941
Ge2 Ge 0.375 0.316 0.441
Ge3 Ge 0.684 0.125 0.059
Ge4 Ge 0.875 0.934 0.559
Pt1 Pt 0.250 0.750 0.500
Pt2 Pt 0.500 0.500 0.000
N1 N 0.000 0.000 0.000
N2 N 0.750 0.250 0.500
# Spin magnetization: 0.0 μB/f.u.
# VASP energy: -46.958 eV/cell
# Formation energy from raw total energies: 2.94 kJ per mole of atoms
# Crystal system: tetragonal